Entry 1:
An optimized crystal structure of CaCd5Hg4, computed with GGA-PBE.

Properties
DOS at the Fermi energy   0.3425 states/eV per atom
Total magnetic moment   0.00 μB per formula unit
E_form   -0.10 eV/atom

a = 4.8350 Å, b = 7.3898 Å, c = 7.7710 Å
α = 88.62°, β = 89.97°, γ = 109.02°
Positions (direct):
Hg 0.6708 0.3401 0.2536
Hg 0.9786 0.9577 0.2616
Hg 0.0214 0.0423 0.7384
Hg 0.3292 0.6599 0.7464
Cd 0.1823 0.3637 0.4792
Cd 0.8214 0.6468 0.9801
Cd 0.1786 0.3532 0.0199
Cd 0.8177 0.6363 0.5208
Cd 0.5000 0.0000 0.5000
Ca 0.5000 0.0000 0.0000

Entry 2:
An optimized crystal structure of CaCd4Hg6, computed with GGA-PBE.

Properties
DOS at the Fermi energy   0.4270 states/eV per atom
Total magnetic moment   0.00 μB per formula unit
E_form   -0.03 eV/atom

a = 7.5672 Å, b = 7.5672 Å, c = 7.5672 Å
α = 92.36°, β = 118.65°, γ = 118.65°
Positions (direct):
Cd 0.6319 0.3765 0.3765
Cd 0.0000 0.6235 0.2554
Cd 0.0000 0.2554 0.6235
Cd 0.3681 0.7446 0.7446
Hg 0.0000 0.8779 0.5808
Hg 0.7029 0.1221 0.1221
Hg 0.2971 0.4192 0.4192
Hg 0.5000 0.5000 0.0000
Hg 0.5000 0.0000 0.5000
Hg 0.0000 0.5808 0.8779
Ca 0.0000 0.0000 0.0000

Entry 3:
An optimized crystal structure of Ca10Cd3Hg3, computed with GGA-PBE.

Properties
DOS at the Fermi energy   1.0294 states/eV per atom
Total magnetic moment   0.00 μB per formula unit
E_form   -0.34 eV/atom

a = 6.7403 Å, b = 9.3984 Å, c = 9.3984 Å
α = 120.00°, β = 90.00°, γ = 90.00°
Positions (direct):
Cd 0.5000 0.0000 0.3942
Cd 0.5000 0.3942 0.0000
Cd 0.5000 0.6058 0.6058
Ca 0.2482 0.6667 0.3333
Ca 0.0000 0.0000 0.2560
Ca 0.5000 0.7451 0.0000
Ca 0.2482 0.3333 0.6667
Ca 0.7518 0.3333 0.6667
Ca 0.0000 0.2560 0.0000
Ca 0.7518 0.6667 0.3333
Ca 0.5000 0.0000 0.7451
Ca 0.5000 0.2549 0.2549
Ca 0.0000 0.7440 0.7440
Hg 0.0000 0.6067 0.0000
Hg 0.0000 0.3933 0.3933
Hg 0.0000 0.0000 0.6067

Entry 4:
An optimized crystal structure of CaCd3Hg5, computed with GGA-PBE.

Properties
DOS at the Fermi energy   0.3244 states/eV per atom
Total magnetic moment   0.00 μB per formula unit
E_form   -0.09 eV/atom

a = 7.3515 Å, b = 7.3515 Å, c = 10.4300 Å
α = 110.64°, β = 110.64°, γ = 90.00°
Positions (direct):
Hg 0.5943 0.6194 0.7136
Hg 0.5000 0.5000 0.0000
Hg 0.0000 0.0000 0.0000
Hg 0.4057 0.3806 0.2864
Hg 0.6194 0.1194 0.7136
Hg 0.8806 0.9057 0.2864
Hg 0.9057 0.4057 0.2864
Hg 0.3806 0.8806 0.2864
Hg 0.1194 0.0943 0.7136
Hg 0.0943 0.5943 0.7136
Cd 0.3681 0.8681 0.0000
Cd 0.6319 0.1319 0.0000
Cd 0.7500 0.7500 0.5000
Cd 0.1319 0.3681 0.0000
Cd 0.8681 0.6319 0.0000
Cd 0.2500 0.2500 0.5000
Ca 0.2500 0.7500 0.5000
Ca 0.7500 0.2500 0.5000

Entry 5:
An optimized crystal structure of CaCdHg4, computed with GGA-PBE.

Properties
DOS at the Fermi energy   0.3628 states/eV per atom
Total magnetic moment   0.00 μB per formula unit
E_form   -0.21 eV/atom

a = 5.2857 Å, b = 8.2458 Å, c = 9.1308 Å
α = 116.84°, β = 113.58°, γ = 90.00°
Positions (direct):
Hg 0.3273 0.0609 0.7432
Hg 0.0000 0.8185 0.0000
Hg 0.0000 0.1815 0.0000
Hg 0.3273 0.6823 0.7432
Hg 0.6727 0.9391 0.2568
Hg 0.0484 0.6684 0.3369
Hg 0.9516 0.3316 0.6631
Hg 0.6727 0.3177 0.2568
Cd 0.6557 0.4446 0.8891
Cd 0.3443 0.5554 0.1109
Ca 0.7224 0.7939 0.5877
Ca 0.2776 0.2061 0.4123

Entry 6:
An optimized crystal structure of CaCdHg4, computed with GGA-PBE.

Properties
DOS at the Fermi energy   0.2381 states/eV per atom
Total magnetic moment   0.00 μB per formula unit
E_form   -0.20 eV/atom

a = 5.3404 Å, b = 8.2244 Å, c = 9.4507 Å
α = 131.02°, β = 90.00°, γ = 90.00°
Positions (direct):
Hg 0.5014 0.2085 0.3856
Hg 0.4986 0.7085 0.8856
Hg 0.5014 0.2915 0.1144
Hg 0.0022 0.5060 0.1657
Hg 0.9978 0.0060 0.6657
Hg 0.9978 0.4940 0.8343
Hg 0.0022 0.9940 0.3343
Hg 0.4986 0.7915 0.6144
Cd 0.5026 0.7500 0.2500
Cd 0.4974 0.2500 0.7500
Ca 0.0000 0.0000 0.0000
Ca 0.0000 0.5000 0.5000

Entry 7:
An optimized crystal structure of Ca5CdHg, computed with GGA-PBE.

Properties
DOS at the Fermi energy   0.8592 states/eV per atom
Total magnetic moment   0.00 μB per formula unit
E_form   -0.14 eV/atom

a = 7.0936 Å, b = 7.0936 Å, c = 11.6497 Å
α = 79.90°, β = 79.90°, γ = 62.22°
Positions (direct):
Ca 0.1137 0.8863 0.7500
Ca 0.5133 0.2403 0.0186
Ca 0.9653 0.6095 0.1613
Ca 0.8863 0.1137 0.2500
Ca 0.6095 0.9653 0.6613
Ca 0.7597 0.4867 0.4814
Ca 0.4867 0.7597 0.9814
Ca 0.3905 0.0347 0.3387
Ca 0.2403 0.5133 0.5186
Ca 0.0347 0.3905 0.8387
Hg 0.0000 0.0000 0.0000
Hg 0.0000 0.0000 0.5000
Cd 0.4457 0.5543 0.2500
Cd 0.5543 0.4457 0.7500

Entry 8:
An optimized crystal structure of CaCd2Hg3, computed with GGA-PBE.

Properties
DOS at the Fermi energy   0.3661 states/eV per atom
Total magnetic moment   0.00 μB per formula unit
E_form   -0.23 eV/atom

a = 5.0533 Å, b = 7.9433 Å, c = 7.7979 Å
α = 90.00°, β = 90.00°, γ = 71.45°
Positions (direct):
Hg 0.8296 0.3409 0.2560
Hg 0.5000 0.0000 0.2631
Hg 0.5000 0.0000 0.7369
Hg 0.1704 0.6591 0.7440
Hg 0.1705 0.6591 0.2560
Hg 0.8295 0.3409 0.7440
Cd 0.0000 0.0000 0.0000
Cd 0.3361 0.3277 0.5000
Cd 0.0000 0.0000 0.5000
Cd 0.6639 0.6723 0.5000
Ca 0.6565 0.6870 0.0000
Ca 0.3435 0.3130 0.0000